# LiPm4Hg3, optimized geometry, DFT PBE-GGA
# Total DFT energy (no corrections)   -3.08 eV per atom
# Formation energy from the elements   -0.354 eV per atom
data_LiPm4Hg3
_cell_length_a 5.388
_cell_length_b 5.388
_cell_length_c 15.094
_cell_angle_alpha 90.00
_cell_angle_beta 90.00
_cell_angle_gamma 90.00
_symmetry_space_group_name_H-M 'I 4/m m m'
_symmetry_Int_Tables_number 139
_symmetry_space_group_name_Hall '-I 4 2'
loop_
_atom_site_label
_atom_site_type_symbol
_atom_site_fract_x
_atom_site_fract_y
_atom_site_fract_z
Li1 Li 0.000 0.000 0.000
Pm1 Pm 0.000 0.500 0.125
Hg1 Hg 0.000 0.000 0.247
Hg2 Hg 0.000 0.000 0.500

=====

# Li3PmHg3, optimized geometry, DFT PBE-GGA
# Total DFT energy (no corrections)   -1.63 eV per atom
# Formation energy from the elements   -0.003 eV per atom
data_Li3PmHg3
_cell_length_a 6.991
_cell_length_b 6.991
_cell_length_c 6.991
_cell_angle_alpha 90.00
_cell_angle_beta 90.00
_cell_angle_gamma 90.00
_symmetry_space_group_name_H-M 'P m -3 n'
_symmetry_Int_Tables_number 223
_symmetry_space_group_name_Hall '-P 4n 2 3'
loop_
_atom_site_label
_atom_site_type_symbol
_atom_site_fract_x
_atom_site_fract_y
_atom_site_fract_z
Li1 Li 0.000 0.250 0.500
Pm1 Pm 0.000 0.000 0.000
Hg1 Hg 0.000 0.500 0.250

=====

# LiPm3Hg5, optimized geometry, DFT PBE-GGA
# Total DFT energy (no corrections)   -2.40 eV per atom
# Formation energy from the elements   -0.432 eV per atom
data_LiPm3Hg5
_cell_length_a 9.1783
_cell_length_b 9.1783
_cell_length_c 6.3587
_cell_angle_alpha 90.00
_cell_angle_beta 90.00
_cell_angle_gamma 120.00
_symmetry_space_group_name_H-M 'P 63/m c m'
_symmetry_Int_Tables_number 193
_symmetry_space_group_name_Hall '-P 6c 2'
loop_
_atom_site_label
_atom_site_type_symbol
_atom_site_fract_x
_atom_site_fract_y
_atom_site_fract_z
Li1 Li 0.0000 0.0000 0.0000
Pm1 Pm 0.0000 0.3657 0.2500
Hg1 Hg 0.0000 0.2901 0.7500
Hg2 Hg 0.3333 0.6667 0.0000

=====

# LiPmPrHg, optimized geometry, DFT PBE-GGA
# Total DFT energy (no corrections)   -3.14 eV per atom
# Formation energy from the elements   -0.206 eV per atom
data_LiPmPrHg
_cell_length_a 7.630
_cell_length_b 7.630
_cell_length_c 7.630
_cell_angle_alpha 90.00
_cell_angle_beta 90.00
_cell_angle_gamma 90.00
_symmetry_space_group_name_H-M 'F -4 3 m'
_symmetry_Int_Tables_number 216
_symmetry_space_group_name_Hall 'F -4 2 3'
loop_
_atom_site_label
_atom_site_type_symbol
_atom_site_fract_x
_atom_site_fract_y
_atom_site_fract_z
Li1 Li 0.000 0.000 0.000
Pm1 Pm 0.250 0.250 0.750
Pr1 Pr 0.250 0.250 0.250
Hg1 Hg 0.000 0.000 0.500

=====

# LiPm2PrHg4, optimized geometry, DFT PBE-GGA
# Total DFT energy (no corrections)   -2.62 eV per atom
# Formation energy from the elements   -0.444 eV per atom
data_LiPm2PrHg4
_cell_length_a 5.2365
_cell_length_b 5.2365
_cell_length_c 26.6934
_cell_angle_alpha 90.00
_cell_angle_beta 90.00
_cell_angle_gamma 120.00
_symmetry_space_group_name_H-M 'R -3 m'
_symmetry_Int_Tables_number 166
_symmetry_space_group_name_Hall '-R 3 2"'
loop_
_atom_site_label
_atom_site_type_symbol
_atom_site_fract_x
_atom_site_fract_y
_atom_site_fract_z
Li1 Li 0.0000 0.0000 0.0000
Pm1 Pm 0.0000 0.0000 0.2566
Pr1 Pr 0.0000 0.0000 0.5000
Hg1 Hg 0.0000 0.0000 0.1194
Hg2 Hg 0.0000 0.0000 0.3730

=====

# LiPmHgPt, optimized geometry, DFT PBE-GGA
# Total DFT energy (no corrections)   -3.83 eV per atom
# Formation energy from the elements   -0.574 eV per atom
data_LiPmHgPt
_cell_length_a 6.892
_cell_length_b 6.892
_cell_length_c 6.892
_cell_angle_alpha 90.00
_cell_angle_beta 90.00
_cell_angle_gamma 90.00
_symmetry_space_group_name_H-M 'F -4 3 m'
_symmetry_Int_Tables_number 216
_symmetry_space_group_name_Hall 'F -4 2 3'
loop_
_atom_site_label
_atom_site_type_symbol
_atom_site_fract_x
_atom_site_fract_y
_atom_site_fract_z
Li1 Li 0.000 0.000 0.000
Pm1 Pm 0.250 0.250 0.250
Hg1 Hg 0.250 0.250 0.750
Pt1 Pt 0.000 0.000 0.500

=====

# Li2PmScHg4, optimized geometry, DFT PBE-GGA
# Total DFT energy (no corrections)   -2.43 eV per atom
# Formation energy from the elements   -0.416 eV per atom
data_Li2PmScHg4
_cell_length_a 4.9423
_cell_length_b 4.9423
_cell_length_c 24.8344
_cell_angle_alpha 90.00
_cell_angle_beta 90.00
_cell_angle_gamma 120.00
_symmetry_space_group_name_H-M 'R -3 m'
_symmetry_Int_Tables_number 166
_symmetry_space_group_name_Hall '-R 3 2"'
loop_
_atom_site_label
_atom_site_type_symbol
_atom_site_fract_x
_atom_site_fract_y
_atom_site_fract_z
Li1 Li 0.0000 0.0000 0.2464
Pm1 Pm 0.0000 0.0000 0.0000
Sc1 Sc 0.0000 0.0000 0.5000
Hg1 Hg 0.0000 0.0000 0.1289
Hg2 Hg 0.0000 0.0000 0.3824

=====

# LiPmSiHg, optimized geometry, DFT PBE-GGA
# Total DFT energy (no corrections)   -3.48 eV per atom
# E_form (uncorrected)   -384 meV per atom
data_LiPmSiHg
_cell_length_a 7.064
_cell_length_b 7.064
_cell_length_c 7.064
_cell_angle_alpha 90.00
_cell_angle_beta 90.00
_cell_angle_gamma 90.00
_symmetry_space_group_name_H-M 'F -4 3 m'
_symmetry_Int_Tables_number 216
_symmetry_space_group_name_Hall 'F -4 2 3'
loop_
_atom_site_label
_atom_site_type_symbol
_atom_site_fract_x
_atom_site_fract_y
_atom_site_fract_z
Li1 Li 0.000 0.000 0.000
Pm1 Pm 0.000 0.000 0.500
Si1 Si 0.250 0.250 0.250
Hg1 Hg 0.250 0.250 0.750